The following is a DFT calculation (PBE-GGA) of a relaxed structure of K3Sm3SnTe8.

Unit cell a=15.5527 b=8.9637 c=9.9299 alpha=90.00 beta=121.52 gamma=90.00
Last column: nearest neighbours and their distance in Å.
Space group C2/m (No. 12)
Asymmetric unit:
1 K 0.0000 0.0000 0.0000 [2 per cell]  6 Te 3.55-3.57
2 K 0.2500 0.2500 0.0000 [4 per cell]  6 Te 3.55-3.57
3 Sm 0.0000 0.5000 0.5000 [2 per cell]  6 Te 3.15
4 Sm 0.2500 0.2500 0.5000 [4 per cell]  6 Te 3.15-3.16
5 Sn 0.0000 0.0000 0.5000 [2 per cell]  6 Te 3.05
6 Te 0.0122 0.2420 0.2946 [8 per cell]  1 Sn 3.05, 2 Sm 3.15-3.16
7 Te 0.2300 0.0000 0.7055 [4 per cell]  1 Sn 3.05, 2 Sm 3.15
8 Te 0.2375 0.5000 0.7126 [4 per cell]  3 Sm 3.15

- raw formation energy (meV/atom) = -1112

=====

The following is a DFT calculation (PBE-GGA) of a relaxed structure of KSrSm2Te4.

Unit cell a=7.8884 b=4.5386 c=8.2552 alpha=90.00 beta=108.33 gamma=90.00
Last column: nearest neighbours and their distance in Å.
Space group P2/m (No. 10)
Asymmetric unit:
1 K 0.0000 0.0000 0.0000 [1 per cell]  6 Te 3.38-3.41
2 Sr 0.5000 0.5000 0.0000 [1 per cell]  6 Te 3.36-3.37
3 Sm 0.0000 0.5000 0.5000 [1 per cell]  6 Te 3.19-3.20
4 Sm 0.5000 0.0000 0.5000 [1 per cell]  6 Te 3.15-3.17
5 Te 0.2469 0.0000 0.7318 [2 per cell]  3 Sm 3.17-3.20, 2 Sr 3.36, 1 K 3.38
6 Te 0.2619 0.5000 0.2741 [2 per cell]  3 Sm 3.15-3.19, 1 Sr 3.37, 2 K 3.41

- raw formation energy (meV/atom) = -1468

=====

The following is a DFT calculation (PBE-GGA) of a relaxed structure of KSr3Sm2Te6.

Unit cell a=20.2478 b=4.6257 c=9.4260 alpha=90.00 beta=102.75 gamma=90.00
Last column: nearest neighbours and their distance in Å.
Space group C2/m (No. 12)
Asymmetric unit:
1 K 0.0000 0.0000 0.0000 [2 per cell]  6 Te 3.37-3.42
2 Sr 0.0000 0.0000 0.5000 [2 per cell]  6 Te 3.25-3.38
3 Sr 0.1608 0.5000 0.8370 [4 per cell]  6 Te 3.29-3.40
4 Sm 0.1662 0.5000 0.3357 [4 per cell]  6 Te 3.12-3.24
5 Te 0.0082 0.5000 0.2628 [4 per cell]  1 Sm 3.12, 3 Sr 3.25-3.34, 2 K 3.37
6 Te 0.1711 0.0000 0.5777 [4 per cell]  3 Sm 3.21-3.24, 3 Sr 3.38-3.40
7 Te 0.1729 0.0000 0.1035 [4 per cell]  2 Sm 3.21, 3 Sr 3.29-3.38, 1 K 3.42

- raw formation energy (meV/atom) = -1527

=====

The following is a DFT calculation (PBE-GGA) of a relaxed structure of KSr2SmTe4.

Unit cell a=8.0587 b=4.6968 c=8.2468 alpha=90.00 beta=108.52 gamma=90.00
Last column: nearest neighbours and their distance in Å.
Space group P2/m (No. 10)
Asymmetric unit:
1 K 0.0000 0.0000 0.0000 [1 per cell]  6 Te 3.35-3.41
2 Sr 0.5000 0.0000 0.5000 [1 per cell]  6 Te 3.27-3.28
3 Sr 0.5000 0.5000 0.0000 [1 per cell]  6 Te 3.45
4 Sm 0.0000 0.5000 0.5000 [1 per cell]  6 Te 3.17-3.24
5 Te 0.2377 0.0000 0.7325 [2 per cell]  2 Sm 3.24, 3 Sr 3.27-3.45, 1 K 3.35
6 Te 0.2489 0.5000 0.2691 [2 per cell]  1 Sm 3.17, 3 Sr 3.28-3.45, 2 K 3.41

- raw formation energy (meV/atom) = -1514

=====

The following is a DFT calculation (PBE-GGA) of a relaxed structure of KTb2Sm.

Unit cell a=3.6110 b=3.6110 c=39.8972 alpha=90.00 beta=90.00 gamma=120.00
Last column: nearest neighbours and their distance in Å.
Space group R-3m (No. 166, hexagonal axes)
Asymmetric unit:
1 K 0.0000 0.0000 0.0000 [3 per cell]  6 K 3.61, 2 Tb 3.79
2 Tb 0.0000 0.0000 0.0951 [6 per cell]  3 Sm 3.54, 6 Tb 3.61, 1 K 3.79
3 Sm 0.0000 0.0000 0.5000 [3 per cell]  6 Tb 3.54, 6 Sm 3.61

- calculated formation energy (meV per atom) = 239

=====

The following is a DFT calculation (PBE-GGA) of a relaxed structure of K4Tb3SmTe8.

Unit cell a=9.0522 b=9.0522 c=24.7461 alpha=90.00 beta=90.00 gamma=120.00
Last column: nearest neighbours and their distance in Å.
Space group R-3m (No. 166, hexagonal axes)
Asymmetric unit:
1 K 0.0000 0.0000 0.0000 [3 per cell]  6 Te 3.52
2 K 0.0000 0.5000 0.0000 [9 per cell]  6 Te 3.55
3 Tb 0.0000 0.5000 0.5000 [9 per cell]  6 Te 3.13
4 Sm 0.0000 0.0000 0.5000 [3 per cell]  6 Te 3.16
5 Te 0.0000 0.0000 0.2363 [6 per cell]  3 Tb 3.13
6 Te 0.0033 0.5016 0.7632 [18 per cell]  2 Tb 3.13, 1 Sm 3.16

- raw formation energy (meV/atom) = -1405

=====

Ordered spin magnetization results: 0.000; 0.000; 0.000; 0.000; 0.000; 0.000; unit μB per formula unit.